Material: Ag2PbBr
Method: DFT, PBE
State: relaxed

Output
total magnetization: 0.00 μB per atom
symmetry: P2/m
crystal system: monoclinic
formation energy without anion corrections: 0.6 kJ/mol of atoms
distance to the lowest polymorph of the same formula: 0.0866 eV per atom

a b c (Å): 3.776 4.088 6.805
angles (deg): 90.00 92.07 90.00
Fractional coordinates of all 4 atoms:
Ag 0.014 0.000 0.208
Ag 0.986 0.000 0.792
Pb 0.500 0.500 0.000
Br 0.000 0.500 0.500



Material: Ag2PbBr
Method: DFT, PBE
State: relaxed

Output
total magnetization: 0.00 μB per atom
symmetry: R3m
crystal system: trigonal
formation energy without anion corrections: -2.2 kJ/mol of atoms
distance to the lowest polymorph of the same formula: 0.0575 eV per atom

a b c (Å): 7.453 7.453 7.453
angles (deg): 32.55 32.55 32.55
Fractional coordinates of all 4 atoms:
Ag 0.000 0.000 0.000
Ag 0.267 0.267 0.267
Pb 0.743 0.743 0.743
Br 0.524 0.524 0.524



Material: Ag4PbBr
Method: DFT, PBE
State: relaxed

Output
total magnetization: 0.00 μB per atom
symmetry: F-43m
crystal system: cubic
formation energy without anion corrections: 9.4 kJ/mol of atoms

a b c (Å): 5.727 5.727 5.727
angles (deg): 60.00 60.00 60.00
Fractional coordinates of all 6 atoms:
Ag 0.125 0.125 0.125
Ag 0.125 0.125 0.625
Ag 0.125 0.625 0.125
Ag 0.625 0.125 0.125
Pb 0.500 0.500 0.500
Br 0.750 0.750 0.750



Material: Ag2PbBr8
Method: DFT, PBE
State: relaxed

Output
total magnetization: 0.00 μB per atom
symmetry: I422
crystal system: tetragonal
formation energy without anion corrections: -26.6 kJ/mol of atoms

a b c (Å): 8.096 8.096 8.096
angles (deg): 123.50 123.50 84.04
Fractional coordinates of all 11 atoms:
Ag 0.250 0.750 0.500
Ag 0.750 0.250 0.500
Pb 0.000 0.000 0.000
Br 0.074 0.566 0.867
Br 0.207 0.074 0.508
Br 0.301 0.434 0.508
Br 0.434 0.926 0.133
Br 0.566 0.699 0.492
Br 0.699 0.207 0.133
Br 0.793 0.301 0.867
Br 0.926 0.793 0.492